No. 1
Here is Cd3Ag2 after structural relaxation from Alexandria. Energies are from PBEsol.

a b c (Å): 4.6011 4.6011 5.5763
angles (deg): 90.00 90.00 120.00
Atoms (fractional coordinates):
Ag 0.3333 0.6667 0.8580
Ag 0.6667 0.3333 0.1420
Cd 0.0000 0.0000 0.0000
Cd 0.3333 0.6667 0.3629
Cd 0.6667 0.3333 0.6371

## Properties
Raw total energy   -2.053 eV/atom
Calculated volume   20.4 Å³ per atom
Energy relative to the lowest polymorph listed for this composition   46.0 meV/atom
Magnetization   0.00 μB/f.u.


No. 2
Here is Tl3Cd after structural relaxation from Alexandria. Energies are from PBEsol.

a b c (Å): 5.4001 6.5694 6.5694
angles (deg): 114.01 90.00 90.00
Atoms (fractional coordinates):
Cd 0.2500 0.6033 0.3967
Cd 0.7500 0.3967 0.6033
Tl 0.2500 0.0972 0.9028
Tl 0.2500 0.5933 0.8880
Tl 0.2500 0.1120 0.4067
Tl 0.7500 0.9028 0.0972
Tl 0.7500 0.4067 0.1120
Tl 0.7500 0.8880 0.5933

## Properties
Raw total energy   -2.223 eV/atom
Calculated volume   26.6 Å³ per atom
Magnetization   0.00 μB/f.u.


No. 3
Here is OsRh3 after structural relaxation from Alexandria. Energies are from PBEsol.

a b c (Å): 2.6768 2.6768 8.8994
angles (deg): 81.35 81.35 60.00
Atoms (fractional coordinates):
Rh 0.2509 0.2509 0.2472
Rh 0.5000 0.5000 0.5000
Rh 0.7491 0.7491 0.7528
Os 0.0000 0.0000 0.0000

## Properties
Raw total energy   -9.138 eV/atom
Calculated volume   13.6 Å³ per atom
Magnetization   0.00 μB/f.u.


No. 4
Here is NaHf2IrI after structural relaxation from Alexandria. Energies are from PBEsol.

a b c (Å): 4.8889 5.1779 5.1779
angles (deg): 90.00 90.00 90.00
Atoms (fractional coordinates):
I 0.0000 0.0000 0.0000
Na 0.5000 0.5000 0.5000
Ir 0.5000 0.0000 0.0000
Hf 0.0000 0.0000 0.5000
Hf 0.0000 0.5000 0.0000

## Properties
Raw total energy   -5.515 eV/atom
Calculated volume   26.2 Å³ per atom
Magnetization   0.00 μB/f.u.


Which formula does entry 2 have? Tl3Cd


The highest raw total energy belongs to which entry? Cd3Ag2


Which formula does entry 1 have? Cd3Ag2